Crystalline Lu2InMo at its relaxed geometry. Source: Alexandria, functional GGA-PBE.

DOS(E_F) ... 5.064 states/eV/f.u.
Formation energy ... -0.06 eV per atom
SG ... P4/mmm (123)
Mass density ... 10.15 g/cm³
Magnetic moment ... 0.0 μB per formula unit

a = 3.5396 Å, b = 3.5396 Å, c = 7.3218 Å
α = 90.00°, β = 90.00°, γ = 90.00°
Sites, in units of the cell vectors:
Lu  0.0000  0.0000  0.7784
Lu  0.0000  0.0000  0.2216
Mo  0.5000  0.5000  0.0000
In  0.5000  0.5000  0.5000

Crystalline Lu2InN at its relaxed geometry. Source: Alexandria, functional GGA-PBE.

DOS(E_F) ... 1.824 states/eV/f.u.
Formation energy without anion corrections ... -1.09 eV per atom
SG ... R-3m (166)
Mass density ... 10.11 g/cm³
Magnetic moment ... 0.0 μB per formula unit

a = 3.4365 Å, b = 3.4365 Å, c = 7.9411 Å
α = 77.50°, β = 77.50°, γ = 60.00°
Sites, in units of the cell vectors:
Lu  0.2773  0.2773  0.1682
Lu  0.7227  0.7227  0.8318
In  0.5000  0.5000  0.5000
N  0.0000  0.0000  0.0000